Density functional theory data (PBE) for LiCoSb2 after structural relaxation.

Lattice parameters (Å, degrees): 4.608 5.037 5.037 46.92 90.00 90.00
Element x y z (fractional)
Li (0.000, 0.000, 0.000)
Co (0.500, 0.187, 0.187)
Sb (0.000, 0.289, 0.289)
Sb (0.500, 0.533, 0.533)

## Properties
- Symmetry: Amm2 (38)
- Spin magnetization: 0.000 μB per formula unit
- Formation energy without anion corrections: -0.04 eV/atom
- E: -4.353 eV per atom
- D(E_F): 3.0 states/eV/f.u.

=====

Density functional theory data (PBE) for AcNb2Fe after structural relaxation.

Lattice parameters (Å, degrees): 8.974 8.974 8.974 23.89 23.89 23.89
Element x y z (fractional)
Ac (0.000, 0.000, 0.000)
Nb (0.125, 0.125, 0.125)
Nb (0.875, 0.875, 0.875)
Fe (0.500, 0.500, 0.500)

## Properties
- Symmetry: R-3m (166)
- Spin magnetization: 0.001 μB per formula unit
- Energy of formation from the pure elements: 684.4 meV per atom
- E: -7.493 eV per atom
- D(E_F): 5.9 states/eV/f.u.

=====

Density functional theory data (PBE) for Pm4ErPt5 after structural relaxation.

Lattice parameters (Å, degrees): 3.541 3.541 17.999 90.00 90.00 90.00
Element x y z (fractional)
Pm (0.000, 0.000, 0.101)
Pm (0.000, 0.000, 0.304)
Pm (0.000, 0.000, 0.696)
Pm (0.000, 0.000, 0.899)
Er (0.000, 0.000, 0.500)
Pt (0.500, 0.500, 0.000)
Pt (0.500, 0.500, 0.203)
Pt (0.500, 0.500, 0.409)
Pt (0.500, 0.500, 0.591)
Pt (0.500, 0.500, 0.797)

## Properties
- Symmetry: P4/mmm (123)
- Spin magnetization: 0.000 μB per formula unit
- Energy of formation from the pure elements: -1114.1 meV per atom
- E: -6.491 eV per atom
- D(E_F): 7.3 states/eV/f.u.